[1]
VASP calculation (GGA-PBE) on crystalline Tl2SeO at its relaxed geometry.

Output
Total magnetization = 0.000 μB per cell
Symmetry = Fm-3m, No. 225
Energy above the most stable polymorph in this dataset = 438 meV per atom
DOS(E_F) = 0.768 states/eV per atom

abc: 4.932 4.932 4.932
angles: 60.00 60.00 60.00
Atoms (fractional coordinates):
1 Tl 0.250 0.250 0.250
2 Tl 0.750 0.750 0.750
3 Se 0.000 0.000 0.000
4 O 0.500 0.500 0.500

=====

[2]
VASP calculation (GGA-PBE) on crystalline CeHoHg3 at its relaxed geometry.

Output
Total magnetization = 2.395 μB per cell
Formation enthalpy at 0 K = -2.76 kJ/mol of atoms
Symmetry = P6_3/mmc, No. 194
Energy above the most stable polymorph in this dataset = 347 meV per atom
DOS(E_F) = 1.759 states/eV per atom

abc: 7.526 7.526 5.923
angles: 90.00 90.00 120.00
Atoms (fractional coordinates):
1 Ce 0.000 0.000 0.000
2 Ce 0.000 0.000 0.500
3 Ho 0.333 0.667 0.250
4 Ho 0.667 0.333 0.750
5 Hg 0.206 0.411 0.750
6 Hg 0.206 0.794 0.750
7 Hg 0.411 0.206 0.250
8 Hg 0.589 0.794 0.750
9 Hg 0.794 0.206 0.250
10 Hg 0.794 0.589 0.250

=====

[3]
VASP calculation (GGA-PBE) on crystalline SrGaBi at its relaxed geometry.

Output
Total magnetization = 0.000 μB per cell
Formation enthalpy at 0 K = -46.67 kJ/mol of atoms
Symmetry = C2/m, No. 12
DOS(E_F) = 0.226 states/eV per atom

abc: 7.468 7.468 6.135
angles: 104.31 104.31 34.54
Atoms (fractional coordinates):
1 Sr 0.118 0.118 0.291
2 Sr 0.882 0.882 0.709
3 Ga 0.238 0.238 0.809
4 Ga 0.762 0.762 0.191
5 Bi 0.403 0.403 0.232
6 Bi 0.597 0.597 0.768

=====

[4]
VASP calculation (GGA-PBE) on crystalline Ti2MnIr at its relaxed geometry.

Output
Total magnetization = 0.000 μB per cell
Formation enthalpy at 0 K = -62.76 kJ/mol of atoms
Symmetry = P4/mmm, No. 123
Energy above the most stable polymorph in this dataset = 39 meV per atom
DOS(E_F) = 0.359 states/eV per atom

abc: 4.306 4.306 3.054
angles: 90.00 90.00 90.00
Atoms (fractional coordinates):
1 Ti 0.000 0.500 0.000
2 Ti 0.500 0.000 0.000
3 Mn 0.000 0.000 0.500
4 Ir 0.500 0.500 0.500

=====

[5]
VASP calculation (GGA-PBE) on crystalline LiTmZn at its relaxed geometry.

Output
Total magnetization = 0.010 μB per cell
Formation enthalpy at 0 K = -9.33 kJ/mol of atoms
Symmetry = I4mm, No. 107
Energy above the most stable polymorph in this dataset = 8 meV per atom
DOS(E_F) = 0.512 states/eV per atom

abc: 5.360 5.360 5.360
angles: 140.76 140.76 56.70
Atoms (fractional coordinates):
1 Li 0.000 0.000 0.000
2 Tm 0.307 0.307 0.000
3 Zn 0.636 0.636 0.000

=====

[6]
VASP calculation (GGA-PBE) on crystalline Tm4SnSe at its relaxed geometry.

Output
Total magnetization = 0.000 μB per cell
Symmetry = Cmcm, No. 63
Uncorrected energy = -4.89 eV per atom
DOS(E_F) = 0.887 states/eV per atom

abc: 10.443 10.443 6.165
angles: 90.00 90.00 150.33
Atoms (fractional coordinates):
1 Tm 0.060 0.940 0.750
2 Tm 0.209 0.791 0.504
3 Tm 0.209 0.791 0.996
4 Tm 0.376 0.624 0.750
5 Tm 0.624 0.376 0.250
6 Tm 0.791 0.209 0.004
7 Tm 0.791 0.209 0.496
8 Tm 0.940 0.060 0.250
9 Sn 0.354 0.646 0.250
10 Sn 0.646 0.354 0.750
11 Se 0.077 0.923 0.250
12 Se 0.923 0.077 0.750

=====

Repeat the fifth record exactly.
VASP calculation (GGA-PBE) on crystalline LiTmZn at its relaxed geometry.

Output
Total magnetization = 0.010 μB per cell
Formation enthalpy at 0 K = -9.33 kJ/mol of atoms
Symmetry = I4mm, No. 107
Energy above the most stable polymorph in this dataset = 8 meV per atom
DOS(E_F) = 0.512 states/eV per atom

abc: 5.360 5.360 5.360
angles: 140.76 140.76 56.70
Atoms (fractional coordinates):
1 Li 0.000 0.000 0.000
2 Tm 0.307 0.307 0.000
3 Zn 0.636 0.636 0.000

=====

What did the fifth record say?
VASP calculation (GGA-PBE) on crystalline LiTmZn at its relaxed geometry.

Output
Total magnetization = 0.010 μB per cell
Formation enthalpy at 0 K = -9.33 kJ/mol of atoms
Symmetry = I4mm, No. 107
Energy above the most stable polymorph in this dataset = 8 meV per atom
DOS(E_F) = 0.512 states/eV per atom

abc: 5.360 5.360 5.360
angles: 140.76 140.76 56.70
Atoms (fractional coordinates):
1 Li 0.000 0.000 0.000
2 Tm 0.307 0.307 0.000
3 Zn 0.636 0.636 0.000

=====

> Look up the DOS(E_F) of the fifth one.

0.512 states/eV per atom